Na2Ag7 after structural relaxation, computed with PBE.

Output
V	21.3	Å³ per atom
formation energy	-0.032	eV/atom

```
data_Na2Ag7
_symmetry_space_group_name_H-M 'R -3 m'
_symmetry_Int_Tables_number 166
_symmetry_space_group_name_Hall '-R 3 2"'
_cell_length_a 5.6096
_cell_length_b 5.6096
_cell_length_c 42.2663
_cell_angle_alpha 90.00
_cell_angle_beta 90.00
_cell_angle_gamma 120.00
loop_
_atom_site_label
_atom_site_fract_x
_atom_site_fract_y
_atom_site_fract_z
_atom_site_occupancy
Na1 0.0000 0.0000 0.0545 1
Na2 0.0000 0.0000 0.1512 1
Ag1 0.0000 0.0000 0.2775 1
Ag2 0.0000 0.0000 0.3890 1
Ag3 0.0000 0.0000 0.5000 1
Ag4 0.0000 0.5000 0.0000 1
Ag5 0.0018 0.5009 0.8884 1
```